1.
Density functional theory data (PBEsol) for a relaxed structure of MoWBr2.

Output
* polymorph energy (0 for the lowest one): 56 meV per atom
* ΔE_f (raw): 0.8126 eV per atom

a = 3.0479 Å, b = 3.0479 Å, c = 8.9661 Å
α = 80.21°, β = 80.21°, γ = 60.00°
Last column: nearest neighbours and their distance in Å.
Sites, in units of the cell vectors:
W1 0.0000 0.0000 0.0000  2 Br 2.48
Mo1 0.5000 0.5000 0.5000  6 Br 2.60
Br1 0.9058 0.9058 0.2825  1 W 2.48, 3 Mo 2.60
Br2 0.0942 0.0942 0.7175  1 W 2.48, 3 Mo 2.60

---

2.
Density functional theory data (PBEsol) for a relaxed structure of MoWBr2.

Output
* polymorph energy (0 for the lowest one): 467 meV per atom
* ΔE_f (raw): 1.2242 eV per atom

a = 3.1797 Å, b = 4.4715 Å, c = 4.4715 Å
α = 90.00°, β = 90.00°, γ = 90.00°
Last column: nearest neighbours and their distance in Å.
Sites, in units of the cell vectors:
Br1 0.0000 0.0000 0.5000  4 Mo 2.74, 4 W 2.74
Br2 0.0000 0.5000 0.0000  4 Mo 2.74, 4 W 2.74
Mo1 0.5000 0.5000 0.5000  8 Br 2.74
W1 0.5000 0.0000 0.0000  8 Br 2.74

---

3.
Density functional theory data (PBEsol) for a relaxed structure of MoWBr2.

Output
* polymorph energy (0 for the lowest one): 494 meV per atom
* ΔE_f (raw): 1.2509 eV per atom

a = 4.1978 Å, b = 4.1978 Å, c = 4.9228 Å
α = 115.24°, β = 115.24°, γ = 90.00°
Last column: nearest neighbours and their distance in Å.
Sites, in units of the cell vectors:
Mo1 0.5000 0.5000 0.0000  4 W 2.87, 8 Br 2.87-2.97
Br1 0.0000 0.0000 0.0000  4 W 2.87, 4 Br 2.87, 4 Mo 2.97
W1 0.2500 0.7500 0.5000  8 Br 2.87-2.97, 4 Mo 2.87
Br2 0.7500 0.2500 0.5000  4 Br 2.87, 4 Mo 2.87, 4 W 2.97

---

4.
Density functional theory data (PBEsol) for a relaxed structure of YMoBr2.

Output
* polymorph energy (0 for the lowest one): 261 meV per atom
* ΔE_f (raw): 0.1552 eV per atom

a = 3.9534 Å, b = 3.9534 Å, c = 6.1487 Å
α = 108.75°, β = 108.75°, γ = 90.00°
Last column: nearest neighbours and their distance in Å.
Sites, in units of the cell vectors:
Br1 0.7500 0.2500 0.5000  4 Y 2.80
Br2 0.0000 0.0000 0.0000  4 Mo 2.80
Y1 0.2500 0.7500 0.5000  4 Br 2.80
Mo1 0.5000 0.5000 0.0000  4 Br 2.80

---

5.
Density functional theory data (PBEsol) for a relaxed structure of YMoBr2.

Output
* polymorph energy (0 for the lowest one): 0 meV per atom
* ΔE_f (raw): -0.1059 eV per atom

a = 3.2708 Å, b = 3.2708 Å, c = 9.4438 Å
α = 80.03°, β = 80.03°, γ = 60.00°
Last column: nearest neighbours and their distance in Å.
Sites, in units of the cell vectors:
Br1 0.9101 0.9101 0.2696  1 Mo 2.49
Mo1 0.0000 0.0000 0.0000  2 Br 2.49
Br2 0.0899 0.0899 0.7304  1 Mo 2.49
Y1 0.5000 0.5000 0.5000  6 Br 2.85

---

6.
Density functional theory data (PBEsol) for a relaxed structure of YMo2Br.

Output
* polymorph energy (0 for the lowest one): 0 meV per atom
* ΔE_f (raw): 0.6502 eV per atom

a = 3.0204 Å, b = 5.2181 Å, c = 5.4480 Å
α = 118.61°, β = 90.00°, γ = 90.00°
Last column: nearest neighbours and their distance in Å.
Sites, in units of the cell vectors:
Mo1 0.0000 0.5000 0.5000  2 Mo 2.61
Br1 0.5000 0.5000 0.0000  2 Y 2.61
Mo2 0.0000 0.0000 0.5000  2 Mo 2.61
Y1 0.5000 0.0000 0.0000  2 Br 2.61

---

7.
Density functional theory data (PBEsol) for a relaxed structure of YMo2Br.

Output
* polymorph energy (0 for the lowest one): 89 meV per atom
* ΔE_f (raw): 0.7396 eV per atom

a = 3.6788 Å, b = 3.6788 Å, c = 5.6834 Å
α = 90.00°, β = 90.00°, γ = 90.00°
Last column: nearest neighbours and their distance in Å.
Sites, in units of the cell vectors:
Mo1 0.0000 0.0000 0.2958  1 Mo 2.32
Mo2 0.0000 0.0000 0.7042  1 Mo 2.32
Y1 0.5000 0.5000 0.0000  2 Br 2.84, 8 Mo 3.10
Br1 0.5000 0.5000 0.5000  2 Y 2.84, 8 Mo 2.85

---

8.
Density functional theory data (PBEsol) for a relaxed structure of YMoBr2.

Output
* polymorph energy (0 for the lowest one): 226 meV per atom
* ΔE_f (raw): 0.1202 eV per atom

a = 3.2225 Å, b = 3.3891 Å, c = 8.9275 Å
α = 90.00°, β = 90.00°, γ = 118.39°
Last column: nearest neighbours and their distance in Å.
Sites, in units of the cell vectors:
Br1 0.0000 0.0000 0.2739  2 Mo 2.58
Br2 0.0000 0.0000 0.7261  2 Mo 2.58
Mo1 0.5000 0.0000 0.5000  4 Br 2.58
Y1 0.5000 0.0000 0.0000  4 Br 2.93, 2 Y 3.22